GGA-PBE LiAsIr2, optimized geometry; calculated formation energy = 112 meV per atom; N(E_F) = 3.9 states/eV/f.u.; density = 12.8 g/cm3
1.0
8.285 -0.058 -0.034
7.786 2.832 -0.034
7.786 1.344 2.493
As Ir Li
1 2 1
direct
0.750 0.750 0.750
0.006 0.006 0.006
0.494 0.494 0.494
0.250 0.250 0.250


GGA-PBE Zr3TeN3, optimized geometry; formation energy without anion corrections = -1.330 eV per atom; N(E_F) = 2.5 states/eV/f.u.; density = 5.8 g/cm3
1.0
-1.476 0.350 6.231
-3.931 -4.342 2.613
3.795 -5.461 4.506
Zr Te N
6 2 6
direct
0.232 0.548 0.326
0.894 0.232 0.326
0.548 0.894 0.326
0.452 0.106 0.674
0.106 0.768 0.674
0.768 0.452 0.674
0.333 0.333 0.002
0.667 0.667 0.998
0.440 0.801 0.632
0.801 0.127 0.632
0.127 0.440 0.632
0.873 0.560 0.368
0.199 0.873 0.368
0.560 0.199 0.368


GGA-PBE CrCuRh, optimized geometry; polymorph energy (0 for the lowest one) = 218 meV per atom; calculated formation energy = 266 meV per atom; N(E_F) = 3.2 states/eV/f.u.; density = 8.7 g/cm3
1.0
3.607 0.019 0.000
-0.019 3.607 0.000
0.000 0.000 6.386
Cr Rh Cu
2 2 2
direct
0.503 0.003 0.195
0.003 0.503 0.805
0.003 0.503 0.181
0.503 0.003 0.819
0.003 0.003 0.500
0.503 0.503 0.500


GGA-PBE Tl2CoRu, optimized geometry; polymorph energy (0 for the lowest one) = 87 meV per atom; calculated formation energy = 551 meV per atom; N(E_F) = 4.4 states/eV/f.u.; density = 12.1 g/cm3
1.0
4.088 0.000 0.000
0.000 3.821 0.003
0.000 1.903 4.993
Co Ru Tl
1 1 2
direct
0.000 0.684 0.505
0.500 0.565 0.747
0.000 0.974 0.929
0.500 0.277 0.319


GGA-PBE KBi2Pb, optimized geometry; calculated formation energy = -123 meV per atom; N(E_F) = 2.8 states/eV/f.u.; density = 8.4 g/cm3
1.0
5.049 0.000 0.000
0.000 5.099 0.000
0.000 0.000 5.099
Pb K Bi
1 1 2
direct
0.500 0.000 0.000
0.500 0.500 0.500
0.000 0.000 0.500
0.000 0.500 0.000


GGA-PBE Ba2Sn4IrPd3, optimized geometry; calculated formation energy = -632 meV per atom; N(E_F) = 6.4 states/eV/f.u.; density = 8.5 g/cm3
1.0
4.709 0.000 0.000
0.000 4.709 0.000
0.000 0.000 11.155
Ba Sn Ir Pd
2 4 1 3
direct
0.500 0.000 0.253
0.000 0.500 0.747
0.500 0.500 0.000
0.000 0.000 0.000
0.500 0.000 0.618
0.000 0.500 0.382
0.500 0.500 0.500
0.000 0.000 0.500
0.500 0.000 0.868
0.000 0.500 0.132